This record from Alexandria describes a geometry-optimized PrErTh2 structure. The functional is PBE.

Lattice parameters (Å, degrees): 12.6292 12.6292 12.6292 15.96 15.96 15.96
With the nearest neighbours (Å) after each atom.
Sites, in units of the cell vectors:
Pr  0.0000  0.0000  0.0000  2 Th 3.32, 6 Pr 3.51
Er  0.5000  0.5000  0.5000  6 Er 3.51, 6 Th 3.54
Th  0.0889  0.0889  0.0889  1 Pr 3.32, 6 Th 3.51, 3 Er 3.54
Th  0.9111  0.9111  0.9111  1 Pr 3.32, 6 Th 3.51, 3 Er 3.54

Values from the calculation:
The calculation puts the formation enthalpy at 0 K at 0.7 eV/f.u. The space group is No. 166.

=====

This record from Alexandria describes a geometry-optimized Dy3Si6PtRh2 structure. The functional is PBE.

Lattice parameters (Å, degrees): 5.2876 5.2876 9.0209 90.00 90.00 120.00
With the nearest neighbours (Å) after each atom.
Sites, in units of the cell vectors:
Dy  0.0000  0.0000  0.0000  6 Si 2.92, 6 Rh 3.11
Dy  0.3333  0.6667  0.5806  9 Si 2.95-3.15, 3 Pt 3.14
Dy  0.6667  0.3333  0.4194  9 Si 2.95-3.15, 3 Pt 3.14
Si  0.1699  0.3398  0.2739  1 Rh 2.40, 1 Pt 2.57, 2 Si 2.59
Si  0.1699  0.8301  0.2739  1 Rh 2.40, 1 Pt 2.57, 2 Si 2.59
Si  0.3398  0.1699  0.7261  1 Rh 2.40, 1 Pt 2.57, 2 Si 2.59
Si  0.6602  0.8301  0.2739  1 Rh 2.40, 1 Pt 2.57, 2 Si 2.59
Si  0.8301  0.1699  0.7261  1 Rh 2.40, 1 Pt 2.57, 2 Si 2.59
Si  0.8301  0.6602  0.7261  1 Rh 2.40, 1 Pt 2.57, 2 Si 2.59
Pt  0.0000  0.0000  0.5000  6 Si 2.57
Rh  0.3333  0.6667  0.0654  3 Si 2.40
Rh  0.6667  0.3333  0.9346  3 Si 2.40

Values from the calculation:
The space group is No. 164. The calculation puts the raw formation energy at -0.55 eV per atom.

=====

This record from Alexandria describes a geometry-optimized Pr3Tl3GaSe8 structure. The functional is PBE.

Lattice parameters (Å, degrees): 8.5323 8.5323 9.0573 61.93 61.98 60.01
With the nearest neighbours (Å) after each atom.
Sites, in units of the cell vectors:
Pr  0.0000  0.0000  0.0000  6 Se 2.97-3.01
Pr  0.0000  0.5000  0.0000  6 Se 2.97-3.01
Pr  0.5000  0.0000  0.0000  6 Se 2.97-3.01
Tl  0.0000  0.5000  0.5000  6 Se 3.26-3.28
Tl  0.5000  0.0000  0.5000  6 Se 3.27-3.28
Tl  0.5000  0.5000  0.5000  6 Se 3.27-3.28
Ga  0.5000  0.5000  0.0000  6 Se 2.70
Se  0.2391  0.2394  0.7821  3 Pr 2.97, 3 Tl 3.26-3.27
Se  0.2654  0.7175  0.7994  1 Ga 2.70, 2 Pr 3.01
Se  0.2825  0.7347  0.2006  1 Ga 2.70, 2 Pr 3.00-3.01
Se  0.2827  0.2826  0.2004  1 Ga 2.70, 2 Pr 3.00-3.01
Se  0.7173  0.7174  0.7996  1 Ga 2.70, 2 Pr 3.00-3.01
Se  0.7175  0.2653  0.7994  1 Ga 2.70, 2 Pr 3.00-3.01
Se  0.7346  0.2825  0.2006  1 Ga 2.70, 2 Pr 3.01
Se  0.7609  0.7606  0.2179  3 Pr 2.97, 3 Tl 3.26-3.27

Values from the calculation:
The space group is No. 2. The calculation puts the raw formation energy at -1.08 eV per atom.

=====

This record from Alexandria describes a geometry-optimized NaRhSe2O6 structure. The functional is PBE.

Lattice parameters (Å, degrees): 6.5245 6.5245 6.5245 46.93 46.93 46.93
With the nearest neighbours (Å) after each atom.
Sites, in units of the cell vectors:
Na  0.0000  0.0000  0.0000  6 O 2.53
Rh  0.5000  0.5000  0.5000  6 O 2.07
Se  0.2707  0.2707  0.2707  3 O 1.75
Se  0.7293  0.7293  0.7293  3 O 1.75
O  0.0935  0.4613  0.7353  1 Se 1.75
O  0.2647  0.9065  0.5387  1 Se 1.75
O  0.4613  0.7353  0.0935  1 Se 1.75
O  0.5387  0.2647  0.9065  1 Se 1.75
O  0.7353  0.0935  0.4613  1 Se 1.75
O  0.9065  0.5387  0.2647  1 Se 1.75

Values from the calculation:
The space group is No. 148. The calculation puts the raw formation energy at -0.84 eV per atom.

=====

no.,VASP energy (eV per cell),total magnetization (μB/atom)
1,-23.4,0.000
2,-73.7,0.000
3,-68.6,0.000
4,-53.8,0.000